Entry A
Entry from the Alexandria database: crystalline WAu2Br at its relaxed geometry (GGA-PBE).

Unit cell a=4.066 b=4.066 c=9.374 alpha=90.00 beta=90.00 gamma=90.00
Space group I4/mmm (No. 139)
Unique sites:
W 0.000 0.000 0.000 x2
Au 0.000 0.500 0.250 x4
Br 0.000 0.000 0.500 x2

Output
Magnetic moment (μB/cell): 5.7
Mass density (g/cm³): 14.097

---

Entry B
Entry from the Alexandria database: crystalline WAu2Br at its relaxed geometry (GGA-PBE).

Unit cell a=2.926 b=3.056 c=8.804 alpha=90.00 beta=90.10 gamma=90.00
Space group P2/m (No. 10)
Unique sites:
W 0.000 0.000 0.000 x1
Au 0.499 0.500 0.785 x2
Br 0.500 0.000 0.500 x1

Output
Magnetic moment (μB/cell): 0.0
Mass density (g/cm³): 13.875

---

Entry C
Entry from the Alexandria database: crystalline WAu2Br at its relaxed geometry (GGA-PBE).

Unit cell a=3.0079 b=3.0079 c=29.3972 alpha=90.00 beta=90.00 gamma=120.00
Space group R-3m (No. 166, hexagonal axes)
Unique sites:
W 0.0000 0.0000 0.0000 x3
Au 0.0000 0.0000 0.2580 x6
Br 0.0000 0.0000 0.5000 x3

Output
Magnetic moment (μB/cell): 0.0
Mass density (g/cm³): 14.224

---

Least stable of them? entry A.

---

Entry A
Entry from the Alexandria database: crystalline YAu2Br at its relaxed geometry (GGA-PBE).

Unit cell a=3.598 b=3.598 c=8.029 alpha=90.00 beta=90.00 gamma=90.00
Space group P4mm (No. 99)
Unique sites:
Y 0.000 0.000 0.000 x1
Au 0.000 0.000 0.369 x1
Au 0.500 0.500 0.196 x1
Br 0.500 0.500 0.763 x1

Output
Magnetic moment (μB/cell): 0.0
Mass density (g/cm³): 8.992

---

Entry B
Entry from the Alexandria database: crystalline YAu2Br at its relaxed geometry (GGA-PBE).

Unit cell a=8.419 b=8.419 c=5.591 alpha=90.00 beta=90.00 gamma=90.00
Space group I-42d (No. 122)
Unique sites:
Y 0.000 0.000 0.000 x4
Au 0.238 0.750 0.125 x8
Br 0.000 0.000 0.500 x4

Output
Magnetic moment (μB/cell): 0.0
Mass density (g/cm³): 9.432

---

Entry C
Entry from the Alexandria database: crystalline YAu2Br at its relaxed geometry (GGA-PBE).

Unit cell a=3.9967 b=3.9967 c=22.9811 alpha=90.00 beta=90.00 gamma=120.00
Space group R-3m (No. 166, hexagonal axes)
Unique sites:
Y 0.0000 0.0000 0.0000 x3
Au 0.0000 0.0000 0.2548 x6
Br 0.0000 0.0000 0.5000 x3

Output
Magnetic moment (μB/cell): 0.0
Mass density (g/cm³): 8.818

---

Least stable of them? entry C.

---

Entry A
Entry from the Alexandria database: crystalline YAu2Br at its relaxed geometry (GGA-PBE).

Unit cell a=11.826 b=3.580 c=4.818 alpha=90.00 beta=113.91 gamma=90.00
Space group C2/m (No. 12)
Unique sites:
Y 0.000 0.000 0.000 x2
Au 0.223 0.500 0.222 x4
Br 0.000 0.500 0.500 x2

Output
Magnetic moment (μB/cell): 0.0
Mass density (g/cm³): 10.023

---

Entry B
Entry from the Alexandria database: crystalline YAu2Br at its relaxed geometry (GGA-PBE).

Unit cell a=5.590 b=9.232 c=3.954 alpha=90.00 beta=90.00 gamma=90.00
Space group Cmmm (No. 65)
Unique sites:
Y 0.000 0.000 0.000 x2
Au 0.000 0.233 0.500 x4
Br 0.000 0.500 0.000 x2

Output
Magnetic moment (μB/cell): 0.0
Mass density (g/cm³): 9.158

---

Least stable of them? entry A.

---

Entry A
Entry from the Alexandria database: crystalline YAu2Br at its relaxed geometry (GGA-PBE).

Unit cell a=7.196 b=7.196 c=7.196 alpha=90.00 beta=90.00 gamma=90.00
Space group Fm-3m (No. 225)
Unique sites:
Y 0.000 0.000 0.000 x4
Au 0.250 0.250 0.250 x8
Br 0.000 0.000 0.500 x4

Output
Magnetic moment (μB/cell): 0.0
Mass density (g/cm³): 10.029

---

Entry B
Entry from the Alexandria database: crystalline YAu2Br at its relaxed geometry (GGA-PBE).

Unit cell a=3.805 b=3.635 c=8.114 alpha=90.00 beta=98.19 gamma=90.00
Space group Pm (No. 6)
Unique sites:
Y 0.000 0.000 0.000 x1
Au 0.445 0.500 0.818 x1
Au 0.893 0.000 0.645 x1
Br 0.088 0.500 0.267 x1

Output
Magnetic moment (μB/cell): 0.0
Mass density (g/cm³): 8.413

---

Entry C
Entry from the Alexandria database: crystalline YAu2Br at its relaxed geometry (GGA-PBE).

Unit cell a=4.100 b=4.100 c=5.312 alpha=90.00 beta=90.00 gamma=90.00
Space group P4/mmm (No. 123)
Unique sites:
Y 0.000 0.000 0.000 x1
Au 0.000 0.500 0.500 x2
Br 0.500 0.500 0.000 x1

Output
Magnetic moment (μB/cell): 0.0
Mass density (g/cm³): 10.462

---

Entry D
Entry from the Alexandria database: crystalline YAu2Br at its relaxed geometry (GGA-PBE).

Unit cell a=5.018 b=5.023 c=7.098 alpha=90.00 beta=90.00 gamma=90.00
Space group Imm2 (No. 44)
Unique sites:
Y 0.000 0.000 0.000 x2
Au 0.000 0.000 0.501 x2
Au 0.000 0.500 0.250 x2
Br 0.000 0.500 0.751 x2

Output
Magnetic moment (μB/cell): 0.0
Mass density (g/cm³): 10.446

---

Least stable of them? entry A.